BaNi2CF, optimized geometry, DFT GGA+U; symmetry = No. 123; energy above the lowest structure with this stoichiometry = 0 meV/atom; spin magnetization = 0.42 μB/f.u.; uncorrected energy = -20.1 eV per cell; calculated density = 5.70 g cm⁻³
1.0
3.684 0.000 0.000
0.000 3.684 0.000
0.000 0.000 6.130
Ba Ni C F
1 2 1 1
Direct
0.000 0.000 0.000
0.000 0.500 0.500
0.500 0.000 0.500
0.000 0.000 0.500
0.500 0.500 0.000